No. 1
! Si2Ag6O7 (PBE, relaxed); values from VASP
&SYSTEM
  ibrav = 0, nat = 45, ntyp = 3
/
ATOMIC_SPECIES
Si 28.09 Si.upf
Ag 107.87 Ag.upf
O 16.00 O.upf
CELL_PARAMETERS angstrom
6.416 -4.892 0.000
6.416 4.892 0.000
-2.989 0.000 10.226
ATOMIC_POSITIONS crystal
Si 0.107 0.107 0.126
Si 0.197 0.197 0.612
Si 0.346 0.346 0.125
Si 0.654 0.654 0.875
Si 0.803 0.803 0.388
Si 0.893 0.893 0.874
Ag 0.005 0.365 0.867
Ag 0.100 0.453 0.376
Ag 0.146 0.837 0.660
Ag 0.163 0.854 0.340
Ag 0.276 0.559 0.854
Ag 0.365 0.005 0.867
Ag 0.441 0.724 0.146
Ag 0.453 0.100 0.376
Ag 0.460 0.460 0.628
Ag 0.540 0.540 0.372
Ag 0.547 0.900 0.624
Ag 0.559 0.276 0.854
Ag 0.635 0.995 0.133
Ag 0.724 0.441 0.146
Ag 0.837 0.146 0.660
Ag 0.854 0.163 0.340
Ag 0.900 0.547 0.624
Ag 0.995 0.635 0.133
O 0.000 0.000 0.000
O 0.016 0.741 0.435
O 0.024 0.750 0.786
O 0.211 0.211 0.062
O 0.247 0.247 0.775
O 0.250 0.529 0.070
O 0.250 0.976 0.214
O 0.259 0.984 0.565
O 0.294 0.294 0.539
O 0.373 0.373 0.285
O 0.471 0.750 0.930
O 0.529 0.250 0.070
O 0.627 0.627 0.715
O 0.706 0.706 0.461
O 0.741 0.016 0.435
O 0.750 0.024 0.786
O 0.750 0.471 0.930
O 0.753 0.753 0.225
O 0.789 0.789 0.938
O 0.976 0.250 0.214
O 0.984 0.259 0.565
! DFT total energy = -238.13 eV/cell
! space-group type = C2/m, No. 12


No. 2
! TaTlFeHg (PBE, relaxed); values from VASP
&SYSTEM
  ibrav = 0, nat = 16, ntyp = 4
/
ATOMIC_SPECIES
Ta 180.95 Ta.upf
Tl 204.38 Tl.upf
Fe 55.84 Fe.upf
Hg 200.59 Hg.upf
CELL_PARAMETERS angstrom
6.619 0.000 0.000
0.000 6.619 0.000
0.000 0.000 6.619
ATOMIC_POSITIONS crystal
Ta 0.000 0.000 0.000
Ta 0.000 0.500 0.500
Ta 0.500 0.000 0.500
Ta 0.500 0.500 0.000
Tl 0.000 0.000 0.500
Tl 0.000 0.500 0.000
Tl 0.500 0.000 0.000
Tl 0.500 0.500 0.500
Fe 0.250 0.250 0.750
Fe 0.250 0.750 0.250
Fe 0.750 0.250 0.250
Fe 0.750 0.750 0.750
Hg 0.250 0.250 0.250
Hg 0.250 0.750 0.750
Hg 0.750 0.250 0.750
Hg 0.750 0.750 0.250
! DFT total energy = -79.01 eV/cell
! space-group type = F-43m, No. 216
! magnetization = 5.69 μB/cell


No. 3
! NaHfTh (PBE, relaxed); values from VASP
&SYSTEM
  ibrav = 0, nat = 12, ntyp = 3
/
ATOMIC_SPECIES
Na 22.99 Na.upf
Hf 178.49 Hf.upf
Th 232.04 Th.upf
CELL_PARAMETERS angstrom
7.273 0.000 0.000
0.000 7.273 0.000
0.000 0.000 7.273
ATOMIC_POSITIONS crystal
Na 0.000 0.000 0.000
Na 0.000 0.500 0.500
Na 0.500 0.000 0.500
Na 0.500 0.500 0.000
Hf 0.250 0.250 0.250
Hf 0.250 0.750 0.750
Hf 0.750 0.250 0.750
Hf 0.750 0.750 0.250
Th 0.000 0.000 0.500
Th 0.000 0.500 0.000
Th 0.500 0.000 0.000
Th 0.500 0.500 0.500
! DFT total energy = -59.13 eV/cell
! space-group type = F-43m, No. 216
! magnetization = 3.38 μB/cell


No. 4
! GdHoGa2Pd4 (PBE, relaxed); values from VASP
&SYSTEM
  ibrav = 0, nat = 8, ntyp = 4
/
ATOMIC_SPECIES
Gd 157.25 Gd.upf
Ho 164.93 Ho.upf
Ga 69.72 Ga.upf
Pd 106.42 Pd.upf
CELL_PARAMETERS angstrom
4.404 0.000 0.000
-2.202 3.814 0.000
0.000 0.000 9.096
ATOMIC_POSITIONS crystal
Gd 0.000 0.000 0.000
Ho 0.333 0.667 0.500
Ga 0.667 0.333 0.252
Ga 0.667 0.333 0.748
Pd 0.000 0.000 0.333
Pd 0.000 0.000 0.667
Pd 0.333 0.667 0.173
Pd 0.333 0.667 0.827
! DFT total energy = -43.13 eV/cell
! space-group type = P-6m2, No. 187
! magnetization = 0.00 μB/cell


Question: Among the records above, which one has the lowest DFT total energy?
Answer: Si2Ag6O7